[1]
Material: MgCoSe2
Method: DFT, PBE-GGA
State: optimized geometry

* formation energy (no corrections): -1.95 eV/f.u.
* offset from the most stable computed form: 36 meV/atom
* DOS at the Fermi energy: 0.588 states/eV/atom
* final energy: -0.162 Ha/atom

Cell lengths 3.7111, 3.7111, 6.3864 Å; angles 73.10, 73.10, 59.97 degrees
Site moments in Bohr magnetons follow the coordinates.
Positions (direct):
Se: 0.4880 0.4880 0.5362  -0.01
Co: 0.7500 0.7500 0.7500  0.85
Se: 0.0120 0.0120 0.9638  -0.01
Mg: 0.2500 0.2500 0.2500  0.03

[2]
Material: UInSi
Method: DFT, PBE-GGA
State: optimized geometry

* formation energy (no corrections): -0.32 eV/f.u.
* DOS at the Fermi energy: 1.056 states/eV/atom
* final energy: -0.242 Ha/atom

Cell lengths 3.7424, 4.6905, 7.4264 Å; angles 71.59, 90.00, 90.00 degrees
Positions (direct):
Si: 0.2500 0.5622 0.8755
Si: 0.7500 0.4378 0.1245
In: 0.7500 0.7338 0.5325
In: 0.2500 0.2662 0.4675
U: 0.2500 0.9395 0.1209
U: 0.7500 0.0605 0.8791

[3]
Material: K12Au5Se3
Method: DFT, PBE-GGA
State: optimized geometry

* formation energy (no corrections): -10.48 eV/f.u.
* DOS at the Fermi energy: 0.350 states/eV/atom
* final energy: -0.093 Ha/atom

Cell lengths 16.6132, 16.6132, 16.6132 Å; angles 109.47, 109.47, 109.47 degrees
Positions (direct):
Au: 0.1250 0.3750 0.2500
K: 0.9081 0.0796 0.6392
Se: 0.8750 0.1250 0.2500
K: 0.7311 0.5919 0.1715
Au: 0.8750 0.2500 0.6250
K: 0.6392 0.5796 0.9081
Se: 0.6250 0.3750 0.7500
K: 0.1392 0.4081 0.0796
K: 0.8608 0.2689 0.4404
K: 0.4404 0.7689 0.8608
Se: 0.6250 0.2500 0.3750
K: 0.5596 0.3285 0.9204
K: 0.0796 0.9081 0.1392
Au: 0.5000 0.5000 0.5000
K: 0.5596 0.2311 0.1392
K: 0.6715 0.2311 0.5919
K: 0.5919 0.8608 0.4204
Au: 0.7500 0.6250 0.3750
Se: 0.3750 0.6250 0.2500
Se: 0.3750 0.7500 0.6250
Au: 0.6250 0.7500 0.8750
K: 0.3608 0.4204 0.0919
Au: 0.6250 0.8750 0.2500
K: 0.8285 0.9204 0.0596
K: 0.2689 0.4081 0.8285
Au: 0.2500 0.8750 0.1250
K: 0.3608 0.9404 0.7689
K: 0.2311 0.6715 0.0919
Se: 0.2500 0.6250 0.8750
Au: 0.0000 0.0000 0.5000
Au: 0.0000 0.5000 0.0000
K: 0.7311 0.1392 0.0596
K: 0.1392 0.7311 0.5596
Se: 0.1250 0.2500 0.8750
K: 0.3285 0.7689 0.4081
K: 0.9404 0.5796 0.1715
K: 0.2689 0.8608 0.9404
K: 0.4204 0.3608 0.5919
K: 0.0796 0.1715 0.4404
K: 0.3285 0.5596 0.4204
Au: 0.1250 0.7500 0.3750
Au: 0.0000 0.5000 0.5000
Se: 0.1250 0.8750 0.7500
K: 0.4081 0.2689 0.3285
K: 0.9204 0.0919 0.8608
Au: 0.2500 0.3750 0.6250
K: 0.4204 0.0596 0.3285
Au: 0.0000 0.0000 0.0000
K: 0.0596 0.4204 0.8285
K: 0.5919 0.7311 0.6715
Se: 0.7500 0.8750 0.6250
K: 0.0919 0.9204 0.3608
K: 0.7689 0.3285 0.9081
K: 0.9404 0.3608 0.2689
Au: 0.5000 0.0000 0.5000
Au: 0.3750 0.1250 0.7500
Au: 0.5000 0.0000 0.0000
K: 0.8285 0.9081 0.2689
Se: 0.7500 0.3750 0.1250
K: 0.5796 0.6392 0.4081
K: 0.4081 0.1392 0.5796
K: 0.7689 0.4404 0.3608
K: 0.1715 0.0919 0.7311
Au: 0.7500 0.1250 0.8750
Au: 0.8750 0.6250 0.7500
K: 0.2311 0.5596 0.6392
Se: 0.8750 0.7500 0.1250
K: 0.4404 0.6715 0.0796
Au: 0.3750 0.2500 0.1250
K: 0.0596 0.6392 0.7311
K: 0.6392 0.0596 0.2311
Se: 0.2500 0.1250 0.3750
K: 0.0919 0.1715 0.2311
K: 0.9204 0.8285 0.5596
K: 0.8608 0.5919 0.9204
K: 0.9081 0.8285 0.7689
K: 0.6715 0.4404 0.5796
K: 0.5796 0.9404 0.6715
Au: 0.5000 0.5000 0.0000
K: 0.1715 0.0796 0.9404